Computed, not measured: SiSbMo2 at its PBEsol-relaxed geometry at the meta-GGA SCAN level of DFT.

Its symmetry is Fm-3m, No. 225. The calculation puts the energy relative to the elements, uncorrected at 0.238 eV per atom. As for the energy relative to the lowest polymorph listed for this composition: 111 meV/atom.

Geometry as POSCAR:
```
SiSbMo2
1.0
4.468 0.000 0.000
2.234 3.870 0.000
2.234 1.290 3.648
Mo Si Sb
2 1 1
direct
0.750 0.750 0.750
0.250 0.250 0.250
0.000 0.000 0.000
0.500 0.500 0.500
```

***

Computed, not measured: SiSbMo at its PBEsol-relaxed geometry at the meta-GGA SCAN level of DFT.

Its symmetry is F-43m, No. 216. The calculation puts the energy relative to the elements, uncorrected at 0.520 eV per atom. As for the energy relative to the lowest polymorph listed for this composition: 418 meV/atom.

Geometry as POSCAR:
```
SiSbMo
1.0
4.391 0.000 0.000
2.196 3.803 0.000
2.196 1.268 3.585
Si Sb Mo
1 1 1
direct
0.500 0.500 0.500
0.000 0.000 0.000
0.250 0.250 0.250
```

***

Computed, not measured: SnSbMo3 at its PBEsol-relaxed geometry at the meta-GGA SCAN level of DFT.

Its symmetry is Pm-3m, No. 221. The calculation puts the energy relative to the elements, uncorrected at 2.120 eV per atom.

Geometry as POSCAR:
```
SnSbMo3
1.0
-1.775 4.499 -0.504
-4.525 -1.782 0.030
-0.157 0.480 4.837
Mo Sb Sn
3 1 1
direct
0.000 0.000 0.500
0.500 0.000 0.000
0.000 0.500 0.000
0.500 0.500 0.500
0.000 0.000 0.000
```

***

Computed, not measured: SnSbMo2 at its PBEsol-relaxed geometry at the meta-GGA SCAN level of DFT.

Its symmetry is Fm-3m, No. 225. The calculation puts the energy relative to the elements, uncorrected at 0.414 eV per atom.

Geometry as POSCAR:
```
SnSbMo2
1.0
4.641 0.000 0.000
2.320 4.019 0.000
2.320 1.340 3.789
Sb Sn Mo
1 1 2
direct
0.500 0.500 0.500
0.000 0.000 0.000
0.750 0.750 0.750
0.250 0.250 0.250
```

***

Computed, not measured: SnSb2TeMo at its PBEsol-relaxed geometry at the meta-GGA SCAN level of DFT.

Its symmetry is P4/mmm, No. 123. The calculation puts the energy relative to the elements, uncorrected at 1.399 eV per atom.

Geometry as POSCAR:
```
SnSb2TeMo
1.0
5.465 0.000 0.000
0.000 5.465 0.000
0.000 0.000 5.542
Sb Mo Te Sn
2 1 1 1
direct
0.000 0.500 0.000
0.500 0.000 0.000
0.500 0.500 0.500
0.000 0.000 0.500
0.000 0.000 0.000
```

***

Computed, not measured: SrSbMo2 at its PBEsol-relaxed geometry at the meta-GGA SCAN level of DFT.

Its symmetry is Immm, No. 71. The calculation puts the energy relative to the elements, uncorrected at 0.914 eV per atom.

Geometry as POSCAR:
```
SrSbMo2
1.0
-1.858 -2.736 -1.110
4.122 -2.618 -0.448
-1.601 1.167 5.287
Mo Sb Sr
2 1 1
direct
0.237 0.237 0.475
0.763 0.763 0.525
0.500 0.000 0.000
0.000 0.500 0.000
```

***

Computed, not measured: SrSbMo2 at its PBEsol-relaxed geometry at the meta-GGA SCAN level of DFT.

Its symmetry is R3m, No. 160. The calculation puts the energy relative to the elements, uncorrected at 0.482 eV per atom.

Geometry as POSCAR:
```
SrSbMo2
1.0
3.298 0.000 0.000
1.649 2.856 0.000
1.649 0.952 9.358
Mo Sr Sb
2 1 1
direct
0.016 0.016 0.951
0.742 0.742 0.773
0.256 0.256 0.233
0.486 0.486 0.543
```

***

Computed, not measured: SrSb2Mo at its PBEsol-relaxed geometry at the meta-GGA SCAN level of DFT.

Its symmetry is F-43m, No. 216. The calculation puts the energy relative to the elements, uncorrected at 0.505 eV per atom. As for the energy relative to the lowest polymorph listed for this composition: 660 meV/atom.

Geometry as POSCAR:
```
SrSb2Mo
1.0
5.127 0.000 0.000
2.563 4.440 0.000
2.563 1.480 4.186
Sb Sr Mo
2 1 1
direct
0.750 0.750 0.750
0.000 0.000 0.000
0.250 0.250 0.250
0.500 0.500 0.500
```

***

Computed, not measured: SrSbMo2 at its PBEsol-relaxed geometry at the meta-GGA SCAN level of DFT.

Its symmetry is P4/mmm, No. 123. The calculation puts the energy relative to the elements, uncorrected at 0.861 eV per atom.

Geometry as POSCAR:
```
SrSbMo2
1.0
-2.434 -0.143 3.419
-2.523 -2.759 -1.912
2.510 -3.434 1.643
Mo Sr Sb
2 1 1
direct
0.500 0.000 0.000
0.000 0.500 0.000
0.000 0.000 0.500
0.500 0.500 0.500
```

***

Computed, not measured: SrSbMo2 at its PBEsol-relaxed geometry at the meta-GGA SCAN level of DFT.

Its symmetry is P4/mmm, No. 123. The calculation puts the energy relative to the elements, uncorrected at 0.527 eV per atom.

Geometry as POSCAR:
```
SrSbMo2
1.0
-2.026 -2.953 -0.212
1.458 -0.772 -3.186
4.935 -3.610 3.132
Mo Sb Sr
2 1 1
direct
0.000 0.000 0.173
0.000 0.000 0.827
0.500 0.500 0.000
0.500 0.500 0.500
```

***

Computed, not measured: Sr4SbMo at its PBEsol-relaxed geometry at the meta-GGA SCAN level of DFT.

Its symmetry is F-43m, No. 216. The calculation puts the energy relative to the elements, uncorrected at 0.841 eV per atom.

Geometry as POSCAR:
```
Sr4SbMo
1.0
-4.136 -4.526 2.579
-4.137 -3.369 -3.971
1.022 -6.472 -1.143
Mo Sr Sb
1 4 1
direct
0.750 0.750 0.750
0.375 0.375 0.875
0.375 0.375 0.375
0.375 0.875 0.375
0.875 0.375 0.375
0.000 0.000 0.000
```

***

Computed, not measured: SrSb2Mo at its PBEsol-relaxed geometry at the meta-GGA SCAN level of DFT.

Its symmetry is C2/m, No. 12. The calculation puts the energy relative to the elements, uncorrected at -0.155 eV per atom. As for the energy relative to the lowest polymorph listed for this composition: 0 meV/atom.

Geometry as POSCAR:
```
SrSb2Mo
1.0
3.811 0.000 0.000
-1.905 4.225 0.014
0.000 -1.776 6.317
Mo Sb Sr
1 2 1
direct
0.500 0.000 0.000
0.232 0.463 0.178
0.768 0.537 0.822
0.000 0.000 0.500
```

***

Computed, not measured: TcSb2Mo at its PBEsol-relaxed geometry at the meta-GGA SCAN level of DFT.

Its symmetry is P4mm, No. 99. The calculation puts the energy relative to the elements, uncorrected at 0.081 eV per atom. As for the energy relative to the lowest polymorph listed for this composition: 0 meV/atom.

Geometry as POSCAR:
```
TcSb2Mo
1.0
-1.812 2.009 -1.500
-2.324 -0.653 1.933
2.461 5.922 4.958
Tc Sb Mo
1 2 1
direct
0.000 0.000 0.527
0.000 0.000 0.949
0.500 0.500 0.310
0.500 0.500 0.714
```

***

Computed, not measured: TcSb2Mo at its PBEsol-relaxed geometry at the meta-GGA SCAN level of DFT.

Its symmetry is R3m, No. 160. The calculation puts the energy relative to the elements, uncorrected at 0.270 eV per atom. As for the energy relative to the lowest polymorph listed for this composition: 188 meV/atom.

Geometry as POSCAR:
```
TcSb2Mo
1.0
3.054 0.000 0.000
1.527 2.645 0.000
1.527 0.882 10.286
Sb Tc Mo
2 1 1
direct
0.979 0.979 0.062
0.772 0.772 0.684
0.510 0.510 0.471
0.239 0.239 0.283
```

***

Computed, not measured: Tc2SbMo at its PBEsol-relaxed geometry at the meta-GGA SCAN level of DFT.

Its symmetry is P4mm, No. 99. The calculation puts the energy relative to the elements, uncorrected at 0.252 eV per atom.

Geometry as POSCAR:
```
Tc2SbMo
1.0
3.035 0.000 0.000
0.000 3.035 0.000
0.000 0.000 6.842
Sb Mo Tc
1 1 2
direct
0.500 0.500 0.756
0.000 0.000 0.484
0.000 0.000 0.014
0.500 0.500 0.247
```

***

Computed, not measured: TcSb2Mo at its PBEsol-relaxed geometry at the meta-GGA SCAN level of DFT.

Its symmetry is Cm, No. 8. The calculation puts the energy relative to the elements, uncorrected at 0.217 eV per atom. As for the energy relative to the lowest polymorph listed for this composition: 136 meV/atom.

Geometry as POSCAR:
```
TcSb2Mo
1.0
3.253 0.000 0.000
0.000 4.797 -0.005
-1.627 -1.431 4.523
Sb Tc Mo
2 1 1
direct
0.239 0.691 0.478
0.009 0.057 0.019
0.496 0.561 0.993
0.755 0.191 0.510
```

***

Computed, not measured: TcSb2Mo at its PBEsol-relaxed geometry at the meta-GGA SCAN level of DFT.

Its symmetry is C2/m, No. 12. The calculation puts the energy relative to the elements, uncorrected at 0.388 eV per atom. As for the energy relative to the lowest polymorph listed for this composition: 307 meV/atom.

Geometry as POSCAR:
```
TcSb2Mo
1.0
-0.263 2.569 1.783
-3.423 -0.221 -2.947
-1.925 -3.074 4.144
Sb Tc Mo
2 1 1
direct
0.752 0.504 0.754
0.248 0.496 0.246
0.500 0.000 0.000
0.000 0.000 0.500
```

***

Computed, not measured: TcSb2Mo at its PBEsol-relaxed geometry at the meta-GGA SCAN level of DFT.

Its symmetry is Pmmm, No. 47. The calculation puts the energy relative to the elements, uncorrected at 0.668 eV per atom. As for the energy relative to the lowest polymorph listed for this composition: 587 meV/atom.

Geometry as POSCAR:
```
TcSb2Mo
1.0
3.296 0.000 0.000
0.000 4.213 0.000
0.000 0.000 5.307
Sb Mo Tc
2 1 1
direct
0.000 0.000 0.000
0.500 0.000 0.500
0.000 0.500 0.500
0.500 0.500 0.000
```

***

Computed, not measured: Tc2SbMo at its PBEsol-relaxed geometry at the meta-GGA SCAN level of DFT.

Its symmetry is F-43m, No. 216. The calculation puts the energy relative to the elements, uncorrected at 0.235 eV per atom.

Geometry as POSCAR:
```
Tc2SbMo
1.0
-0.385 -2.537 -3.645
2.510 -3.657 -0.445
-1.873 -4.036 0.280
Tc Sb Mo
2 1 1
direct
0.750 0.750 0.750
0.000 0.000 0.000
0.250 0.250 0.250
0.500 0.500 0.500
```

***

Computed, not measured: Tc2SbMo at its PBEsol-relaxed geometry at the meta-GGA SCAN level of DFT.

Its symmetry is R-3m, No. 166. The calculation puts the energy relative to the elements, uncorrected at 0.352 eV per atom.

Geometry as POSCAR:
```
Tc2SbMo
1.0
2.968 0.000 0.000
1.484 2.570 0.000
1.484 0.857 8.467
Sb Mo Tc
1 1 2
direct
0.000 0.000 0.000
0.500 0.500 0.500
0.246 0.246 0.262
0.754 0.754 0.738
```

***

Number 1: final energy -29.024 eV/atom. Number 2: final energy -26.867 eV/atom. Number 3: final energy -33.448 eV/atom. Number 4: final energy -35.324 eV/atom. Number 5: final energy -35.117 eV/atom. Number 6: final energy -31.412 eV/atom. Number 7: final energy -31.844 eV/atom. Number 8: final energy -32.416 eV/atom. Number 9: final energy -31.466 eV/atom. Number 10: final energy -31.800 eV/atom. Number 11: final energy -26.034 eV/atom. Number 12: final energy -33.076 eV/atom. Number 13: final energy -36.035 eV/atom. Number 14: final energy -35.847 eV/atom. Number 15: final energy -35.314 eV/atom. Number 16: final energy -35.900 eV/atom. Number 17: final energy -35.729 eV/atom. Number 18: final energy -35.449 eV/atom. Number 19: final energy -35.331 eV/atom. Number 20: final energy -35.214 eV/atom.